A plane-wave DFT calculation with PBE-GGA was carried out for a geometry-optimized Mn3FeAs structure.

Output
- VASP energy (Ha/atom) = -0.2572
- volume (Å³/cell) = 89.14
- energy relative to the lowest polymorph listed for this composition (meV/atom) = 253
- formation energy (eV/atom) = 1.13

Structure (extended XYZ):
```
5
Lattice="4.467 0.000 0.000 0.000 4.467 0.000 0.000 0.000 4.467" Properties=species:S:1:pos:R:3 pbc="T T T"
Mn 0.000 0.000 2.234
Mn 0.000 2.234 0.000
Mn 2.234 0.000 0.000
Fe 2.234 2.234 2.234
As 0.000 0.000 0.000
```

---

A plane-wave DFT calculation with PBE-GGA was carried out for a geometry-optimized TaTeSCl2 structure.

Output
- VASP energy (Ha/atom) = -0.1267
- volume (Å³/cell) = 145.02
- E_form (uncorrected) (eV/atom) = 1.116
- energy relative to the lowest polymorph listed for this composition (meV/atom) = 1275

Structure (extended XYZ):
```
5
Lattice="5.193 0.000 0.000 0.000 5.193 0.000 0.000 0.000 5.378" Properties=species:S:1:pos:R:3 pbc="T T T"
Ta 0.000 0.000 0.000
Te 2.596 2.596 2.689
S 2.596 2.596 0.000
Cl 0.000 2.596 2.689
Cl 2.596 0.000 2.689
```

---

A plane-wave DFT calculation with PBE-GGA was carried out for a geometry-optimized Nd8P3CI4 structure.

Output
- VASP energy (Ha/atom) = -0.2044
- volume (Å³/cell) = 462.09
- E_form (uncorrected) (eV/atom) = -1.199

Structure (extended XYZ):
```
16
Lattice="4.156 2.400 7.722 -4.156 2.400 7.722 0.000 -4.799 7.722" Properties=species:S:1:pos:R:3 pbc="T T T"
Nd 0.000 0.000 5.308
Nd -1.913 -1.104 12.987
Nd 0.000 -2.208 10.180
Nd -1.913 1.104 10.180
Nd 1.913 -1.104 12.987
Nd 0.000 2.209 12.987
Nd 1.913 1.104 10.180
Nd 0.000 0.000 17.859
P -4.156 0.000 11.583
P -2.078 1.200 3.861
P 2.078 1.200 3.861
C 0.000 0.000 11.583
I 0.000 0.000 0.000
I -2.078 -1.200 7.722
I -2.078 1.200 15.445
I 0.000 2.400 7.722
```

---

A plane-wave DFT calculation with PBE-GGA was carried out for a geometry-optimized Tb2SbSe5 structure.

Output
- VASP energy (Ha/atom) = -0.1835
- volume (Å³/cell) = 528.46
- E_form (uncorrected) (eV/atom) = -1.143

Structure (extended XYZ):
```
16
Lattice="2.799 -6.965 0.000 2.799 6.965 0.000 0.000 0.000 13.552" Properties=species:S:1:pos:R:3 pbc="T T T"
Tb 2.799 4.729 7.689
Tb 2.799 4.729 12.640
Tb 2.799 -4.729 0.913
Tb 2.799 -4.729 5.863
Sb 2.799 4.608 3.388
Sb 2.799 -4.608 10.164
Se 2.799 6.384 1.399
Se 2.799 6.384 5.377
Se 2.799 3.138 10.164
Se 2.799 2.711 1.167
Se 2.799 2.711 5.609
Se 2.799 -2.711 7.943
Se 2.799 -2.711 12.385
Se 2.799 -3.138 3.388
Se 2.799 -6.384 8.175
Se 2.799 -6.384 12.153
```

---

Theoretical density (computed, g cm⁻³): 5.51; 4.71; 6.35; 5.24